No. 1
This record from Alexandria describes a relaxed structure of Rb2TiBr6Cl. The functional is PBE.

Geometry as POSCAR:
```
Rb2TiBr6Cl
1.0
-4.775 -3.416 -5.316
0.739 -6.919 3.783
-6.728 -3.828 2.603
Br Cl Rb Ti
6 1 2 1
Cartesian
-6.033 -9.768 -0.104
-3.529 -4.208 -3.259
-0.913 -2.336 -0.347
-4.731 -4.396 1.175
-3.124 -7.999 -1.186
-0.508 -6.127 1.726
-2.018 -5.168 -0.767
-6.761 -6.206 -1.739
-4.004 -7.958 2.810
0.000 0.000 0.000
```

Summary:
Calculated total energy: -33.5 eV per cell



No. 2
This record from Alexandria describes a relaxed structure of Rb2Tl4Br3Cl2. The functional is PBE.

Geometry as POSCAR:
```
Rb2Tl4Br3Cl2
1.0
5.055 0.000 0.000
0.000 5.055 0.000
-2.527 -2.527 18.504
Br Tl Cl Rb
3 4 2 2
Cartesian
0.000 0.000 7.436
2.527 2.527 11.068
0.000 0.000 0.000
2.527 0.000 15.901
0.000 2.527 2.603
2.527 0.000 2.603
0.000 2.527 15.901
2.527 2.527 4.254
0.000 0.000 14.250
2.527 2.527 7.630
0.000 0.000 10.874
```

Summary:
Calculated total energy: -31.1 eV per cell



No. 3
This record from Alexandria describes a relaxed structure of RbTlBr2Cl. The functional is PBE.

Geometry as POSCAR:
```
RbTlBr2Cl
1.0
8.135 0.000 0.000
0.000 8.135 0.000
-4.068 -4.068 5.620
Br Tl Cl Rb
4 2 2 2
Cartesian
1.575 2.492 0.000
6.560 5.643 0.000
2.492 6.560 0.000
5.643 1.575 0.000
0.000 0.000 0.000
4.068 4.068 0.000
0.000 0.000 2.810
4.068 4.068 2.810
4.068 0.000 2.811
0.000 4.068 2.811
```

Summary:
ΔE to the lowest computed polymorph: 0 meV/atom



No. 4
This record from Alexandria describes a relaxed structure of RbTlBrCl. The functional is PBE.

Geometry as POSCAR:
```
RbTlBrCl
1.0
4.790 0.000 0.000
0.000 4.789 0.282
0.000 -0.413 6.664
Br Tl Rb Cl
1 1 1 1
Cartesian
0.000 4.026 4.195
0.000 4.230 0.867
2.395 1.631 4.061
2.395 1.835 0.727
```

Summary:
ΔE to the lowest computed polymorph: 0 meV/atom



No. 5
This record from Alexandria describes a relaxed structure of Rb3Tl2Br5Cl2. The functional is PBE.

Geometry as POSCAR:
```
Rb3Tl2Br5Cl2
1.0
5.819 0.000 0.000
0.000 5.819 0.000
-2.909 -2.909 14.154
Rb Br Tl Cl
3 5 2 2
Cartesian
0.000 0.000 0.000
0.000 0.000 5.192
2.909 2.909 8.961
2.909 2.909 0.000
0.000 2.909 2.897
2.909 0.000 2.897
0.000 2.909 11.257
2.909 0.000 11.257
0.000 0.000 11.153
2.909 2.909 3.001
0.000 0.000 8.390
2.909 2.909 5.763
```

Summary:
Calculated total energy: -34.2 eV per cell



No. 6
This record from Alexandria describes a relaxed structure of RbTlBrCl. The functional is PBE.

Geometry as POSCAR:
```
RbTlBrCl
1.0
-3.352 -3.870 2.500
-1.239 -4.864 -2.697
2.209 -4.920 1.839
Cl Br Tl Rb
1 1 1 1
Cartesian
-0.595 -3.413 0.410
-1.786 -10.240 1.231
-1.191 -6.827 0.821
0.000 0.000 0.000
```

Summary:
ΔE to the lowest computed polymorph: 50 meV/atom



No. 7
This record from Alexandria describes a relaxed structure of Rb2TlBr6Cl. The functional is PBE.

Geometry as POSCAR:
```
Rb2TlBr6Cl
1.0
7.831 0.000 0.000
0.000 7.831 0.000
3.916 3.916 6.139
Br Tl Rb Cl
6 1 2 1
Cartesian
3.916 3.916 3.346
5.874 1.957 0.000
1.957 5.874 0.000
5.874 5.874 0.000
1.957 1.957 0.000
7.831 7.831 2.793
0.000 0.000 0.000
3.916 7.831 3.069
7.831 3.916 3.069
3.916 3.916 0.000
```

Summary:
Calculated total energy: -24.0 eV per cell



No. 8
This record from Alexandria describes a relaxed structure of RbTlBr2Cl. The functional is PBE.

Geometry as POSCAR:
```
RbTlBr2Cl
1.0
5.810 0.000 0.000
0.000 5.810 0.000
0.000 0.000 5.610
Tl Br Cl Rb
1 2 1 1
Cartesian
0.000 0.000 0.000
0.000 2.905 0.000
2.905 0.000 0.000
0.000 0.000 2.805
2.905 2.905 2.805
```

Summary:
ΔE to the lowest computed polymorph: 12 meV/atom



No. 9
This record from Alexandria describes a relaxed structure of Rb2TlBrCl. The functional is PBE.

Geometry as POSCAR:
```
Rb2TlBrCl
1.0
-4.607 3.197 -2.800
-4.249 -3.419 3.088
0.057 4.988 5.600
Rb Cl Tl Br
2 1 1 1
Cartesian
-2.303 1.598 -1.400
-2.125 -1.709 1.544
0.029 2.494 2.800
-4.399 2.383 2.944
0.000 0.000 0.000
```

Summary:
Calculated total energy: -11.5 eV per cell



No. 10
This record from Alexandria describes a relaxed structure of RbTlBrCl2. The functional is PBE.

Geometry as POSCAR:
```
RbTlBrCl2
1.0
5.592 0.000 0.000
0.000 5.592 0.000
0.000 0.000 5.766
Tl Cl Br Rb
1 2 1 1
Cartesian
0.000 0.000 0.000
0.000 2.796 0.000
2.796 0.000 0.000
0.000 0.000 2.883
2.796 2.796 2.883
```

Summary:
Calculated total energy: -14.6 eV per cell



No. 11
This record from Alexandria describes a relaxed structure of Rb2UBr3Cl3. The functional is PBE.

Geometry as POSCAR:
```
Rb2UBr3Cl3
1.0
4.362 0.000 0.000
0.000 8.564 0.000
0.000 -4.282 7.417
Rb U Cl Br
2 1 3 3
Cartesian
2.181 0.000 4.945
2.181 4.282 2.472
0.000 0.000 0.000
2.181 6.700 0.000
2.181 0.932 1.615
2.181 -3.350 5.802
0.000 -1.504 2.605
0.000 2.778 4.812
0.000 3.008 0.000
```

Summary:
Calculated total energy: -38.5 eV per cell



No. 12
This record from Alexandria describes a relaxed structure of RbVBr2Cl. The functional is PBE.

Geometry as POSCAR:
```
RbVBr2Cl
1.0
-2.261 4.132 -2.523
-2.700 -3.388 -3.128
-3.763 -0.046 3.297
Cl Br V Rb
1 2 1 1
Cartesian
-1.881 -0.023 1.649
-1.131 2.066 -1.262
-1.350 -1.694 -1.564
0.000 0.000 0.000
-4.362 0.349 -1.177
```

Summary:
Calculated total energy: -21.3 eV per cell



Which formula does entry 1 have?
Rb2TiBr6Cl



Number 6 is which compound?
RbTlBrCl